# 1
Density functional theory data (PBE) for an optimized crystal structure of Dy2Y7Er2.

VASP energy (eV per atom): -5.610
DOS at the Fermi energy (states/eV per atom): 1.68
Excess energy over the best structure of this formula in the dataset (eV/atom): 0.0552
Energy of formation (eV/atom): 0.170

a b c (Å): 6.021 8.020 8.020
angles (deg): 91.99 74.41 74.41
Element x y z (fractional)
Y 0.409 0.229 0.229
Y 0.824 0.410 0.939
Y 0.591 0.771 0.771
Y 0.176 0.590 0.061
Y 0.176 0.061 0.590
Y 0.000 0.000 0.000
Y 0.824 0.939 0.410
Er 0.801 0.413 0.413
Er 0.199 0.587 0.587
Dy 0.500 0.782 0.218
Dy 0.500 0.218 0.782

***

# 2
Density functional theory data (PBE) for an optimized crystal structure of DyY12Er5.

VASP energy (eV per atom): -5.818
DOS at the Fermi energy (states/eV per atom): 1.45
Energy of formation (eV/atom): 0.014

a b c (Å): 6.174 6.174 17.400
angles (deg): 86.61 86.61 120.01
Element x y z (fractional)
Y 0.111 0.111 0.667
Y 0.444 0.778 0.667
Y 0.612 0.945 0.166
Y 0.556 0.222 0.333
Y 0.388 0.055 0.834
Y 0.721 0.721 0.834
Y 0.222 0.556 0.333
Y 0.778 0.444 0.667
Y 0.945 0.612 0.166
Y 0.279 0.279 0.166
Y 0.055 0.388 0.834
Y 0.889 0.889 0.333
Er 0.833 0.167 0.500
Er 0.167 0.833 0.500
Er 0.333 0.667 0.000
Er 0.500 0.500 0.500
Er 0.667 0.333 0.000
Dy 0.000 0.000 0.000

***

# 3
Density functional theory data (PBE) for an optimized crystal structure of Dy5YEr7.

VASP energy (eV per atom): -4.467
DOS at the Fermi energy (states/eV per atom): 1.96
Excess energy over the best structure of this formula in the dataset (eV/atom): 0.0023
Energy of formation (eV/atom): 0.257

a b c (Å): 6.629 8.629 8.629
angles (deg): 79.91 67.41 67.41
Element x y z (fractional)
Dy 0.999 0.996 0.542
Dy 0.731 0.769 0.769
Dy 0.463 0.542 0.996
Dy 0.999 0.542 0.996
Dy 0.463 0.996 0.542
Er 0.983 0.350 0.685
Er 0.725 0.275 0.275
Er 0.235 0.265 0.265
Er 0.481 0.190 0.847
Er 0.421 0.579 0.579
Er 0.983 0.685 0.350
Er 0.481 0.847 0.190
Y 0.034 0.966 0.966

***

# 4
Density functional theory data (PBE) for an optimized crystal structure of DyY12Er6.

VASP energy (eV per atom): -5.506
DOS at the Fermi energy (states/eV per atom): 1.70
Excess energy over the best structure of this formula in the dataset (eV/atom): 0.1072
Energy of formation (eV/atom): 0.260

a b c (Å): 9.110 9.110 9.110
angles (deg): 106.60 106.60 106.60
Element x y z (fractional)
Y 0.423 0.518 0.809
Y 0.826 0.281 0.137
Y 0.137 0.826 0.281
Y 0.174 0.719 0.863
Y 0.281 0.137 0.826
Y 0.191 0.577 0.482
Y 0.518 0.809 0.423
Y 0.719 0.863 0.174
Y 0.809 0.423 0.518
Y 0.482 0.191 0.577
Y 0.577 0.482 0.191
Y 0.863 0.174 0.719
Er 0.547 0.924 0.815
Er 0.924 0.815 0.547
Er 0.185 0.453 0.076
Er 0.076 0.185 0.453
Er 0.453 0.076 0.185
Er 0.815 0.547 0.924
Dy 0.000 0.000 0.000

***

# 5
Density functional theory data (PBE) for an optimized crystal structure of Dy2Y3Er3.

VASP energy (eV per atom): -5.036
DOS at the Fermi energy (states/eV per atom): 1.91
Energy of formation (eV/atom): 0.250

a b c (Å): 6.419 6.419 6.419
angles (deg): 89.98 89.98 90.02
Element x y z (fractional)
Dy 0.248 0.248 0.752
Dy 0.752 0.752 0.248
Y 0.249 0.751 0.500
Y 0.500 0.249 0.249
Y 0.751 0.500 0.751
Er 0.000 0.249 0.249
Er 0.249 0.751 0.000
Er 0.751 0.000 0.751

***

# 6
Density functional theory data (PBE) for an optimized crystal structure of Dy9YEr2.

VASP energy (eV per atom): -4.704
DOS at the Fermi energy (states/eV per atom): 1.55
Excess energy over the best structure of this formula in the dataset (eV/atom): 0.0254
Energy of formation (eV/atom): 0.047

a b c (Å): 3.488 11.178 11.178
angles (deg): 120.00 90.00 90.00
Element x y z (fractional)
Er 0.000 0.667 0.333
Er 0.000 0.333 0.667
Dy 0.500 0.823 0.647
Dy 0.500 0.177 0.823
Dy 0.000 0.000 0.500
Dy 0.000 0.500 0.000
Dy 0.500 0.647 0.823
Dy 0.000 0.500 0.500
Dy 0.500 0.353 0.177
Dy 0.500 0.823 0.177
Dy 0.500 0.177 0.353
Y 0.000 0.000 0.000